This record from Alexandria via LeMat-Bulk describes crystalline FePPbO2 at its relaxed geometry. The functional is PBE with a Hubbard U.

```
FePPbO2
1.0
3.906 0.000 0.000
0.000 3.906 0.000
0.000 0.000 4.997
Fe P Pb O
1 1 1 2
Direct
0.000 0.000 0.000
0.000 0.000 0.500
0.500 0.500 0.500
0.000 0.500 0.000
0.500 0.000 0.000
```

## Properties
The calculation puts the total energy at -0.388 Ry per atom. As for the density of states at the Fermi level: 0.444 states/eV/atom. As for the space group: P4/mmm (123).